# 1
Ba3Hf2Se7 | GGA-PBE | optimized geometry

Summary:
Uncorrected formation energy (eV/atom): -1.62
Distance to the lowest polymorph of the same formula (meV/atom): 61
D(E_F) (states/eV/f.u.): 0.5
Spin magnetization (μB/cell): 0.000
VASP energy (eV per atom): -5.794

Geometry as POSCAR:
```
Ba3Hf2Se7
1.0
2.6387 -13.4019 0.0000
2.6387 13.4019 0.0000
0.0000 0.0000 5.1356
Ba Hf Se
3 2 7
Cartesian
0.0000 0.0000 0.0000
2.6387 8.6005 0.0000
2.6387 -8.6005 0.0000
2.6387 2.7478 2.5678
2.6387 -2.7478 2.5678
2.6387 10.8641 2.5678
2.6387 5.3623 2.5678
2.6387 2.6301 0.0000
2.6387 0.0000 2.5678
2.6387 -2.6301 0.0000
2.6387 -5.3623 2.5678
2.6387 -10.8641 2.5678
```

# 2
BaHf6Se12 | GGA-PBE | optimized geometry

Summary:
Uncorrected formation energy (eV/atom): -1.06
D(E_F) (states/eV/f.u.): 3.7
Spin magnetization (μB/cell): 0.000
VASP energy (eV per atom): -6.507

Geometry as POSCAR:
```
BaHf6Se12
1.0
6.6537 3.8415 2.8798
-6.6537 3.8415 2.8798
0.0000 -7.6830 2.8798
Ba Hf Se
1 6 12
Cartesian
0.0000 0.0000 0.0000
-3.0506 -1.7613 4.8633
0.0000 -3.5226 3.7760
-3.0506 1.7613 3.7760
3.0506 -1.7613 4.8633
0.0000 3.5226 4.8633
3.0506 1.7613 3.7760
-2.5642 -4.4413 4.3197
-5.1284 0.0000 4.3197
-1.7522 -1.0117 2.7526
1.7522 -1.0116 2.7526
0.0000 2.0233 2.7526
2.5642 -4.4413 4.3197
-2.5642 4.4413 4.3197
0.0000 -2.0233 5.8867
-1.7522 1.0116 5.8867
1.7522 1.0116 5.8867
5.1284 0.0000 4.3197
2.5642 4.4414 4.3197
```

# 3
BaHf3Se | GGA-PBE | optimized geometry

Summary:
Uncorrected formation energy (eV/atom): 2.07
Distance to the lowest polymorph of the same formula (meV/atom): 1844
D(E_F) (states/eV/f.u.): 7.1
Spin magnetization (μB/cell): 0.000
VASP energy (eV per atom): -4.985

Geometry as POSCAR:
```
BaHf3Se
1.0
5.3034 0.0000 0.0000
0.0000 5.3034 0.0000
0.0000 0.0000 5.3034
Ba Hf Se
1 3 1
Cartesian
0.0000 0.0000 0.0000
0.0000 0.0000 2.6517
0.0000 2.6517 0.0000
2.6517 0.0000 0.0000
2.6517 2.6517 2.6517
```

# 4
BaHfTi2Se | GGA-PBE | optimized geometry

Summary:
Uncorrected formation energy (eV/atom): 0.43
D(E_F) (states/eV/f.u.): 7.3
Spin magnetization (μB/cell): 0.009
VASP energy (eV per atom): -5.803

Geometry as POSCAR:
```
BaHfTi2Se
1.0
4.8061 0.0000 0.0000
0.0000 4.8061 0.0000
0.0000 0.0000 5.8182
Ba Hf Ti Se
1 1 2 1
Cartesian
0.0000 0.0000 0.0000
2.4031 2.4031 0.0000
0.0000 2.4031 2.9091
2.4031 0.0000 2.9091
0.0000 0.0000 2.9091
```

# 5
Ba2HfTiSe6 | GGA-PBE | optimized geometry

Summary:
Uncorrected formation energy (eV/atom): -1.52
D(E_F) (states/eV/f.u.): 1.4
Spin magnetization (μB/cell): 0.000
VASP energy (eV per atom): -5.783

Geometry as POSCAR:
```
Ba2HfTiSe6
1.0
3.6232 2.0918 12.2465
-3.6232 2.0918 12.2465
0.0000 -4.1837 12.2465
Ba Hf Ti Se
4 2 2 12
Cartesian
0.0000 0.0000 4.5309
0.0000 0.0000 10.8466
0.0000 0.0000 25.8930
0.0000 0.0000 32.2086
0.0000 0.0000 15.2537
0.0000 0.0000 21.4859
0.0000 0.0000 0.0000
0.0000 0.0000 18.3698
-1.8298 -1.0565 16.8617
0.0000 -2.1320 13.7275
-1.8464 1.0660 13.7275
-1.8464 -1.0660 23.0121
0.0000 -2.1129 19.8779
-1.8298 1.0565 19.8779
1.8298 -1.0565 16.8617
0.0000 2.1129 16.8617
1.8464 1.0660 13.7275
1.8464 -1.0660 23.0121
0.0000 2.1320 23.0121
1.8298 1.0565 19.8779
```

# 6
BaHfUSe6 | GGA-PBE | optimized geometry

Summary:
Uncorrected formation energy (eV/atom): -1.30
Spin magnetization (μB/cell): 0.000
VASP energy (eV per atom): -6.200

Geometry as POSCAR:
```
BaHfUSe6
1.0
6.9533 0.0000 0.0000
-3.4767 6.0218 0.0000
0.0000 0.0000 14.2364
Ba Hf U Se
2 2 2 12
Cartesian
0.0000 0.0000 0.0000
0.0000 0.0000 7.1182
0.0000 4.0145 3.5591
3.4767 2.0073 10.6773
0.0000 4.0145 10.6773
3.4767 2.0073 3.5591
-1.3155 2.3152 1.9694
-2.1294 3.7249 5.1488
1.3155 2.3152 5.1488
-0.8139 6.0034 1.9694
2.6627 0.0183 9.0876
1.3473 2.2968 12.2670
2.1294 3.7249 1.9694
0.8139 6.0034 5.1488
4.2906 0.0183 12.2670
2.1612 3.7066 9.0876
5.6061 2.2968 9.0876
4.7921 3.7066 12.2670
```

# 7
Ba2YHfSe6 | GGA-PBE | optimized geometry

Summary:
Uncorrected formation energy (eV/atom): -1.60
D(E_F) (states/eV/f.u.): 5.5
Spin magnetization (μB/cell): 0.000
VASP energy (eV per atom): -5.718

Geometry as POSCAR:
```
Ba2YHfSe6
1.0
7.5977 0.0000 0.0000
0.0000 10.7378 0.0000
0.0000 0.0000 7.5911
Ba Y Hf Se
4 2 2 12
Cartesian
1.8994 0.0118 1.8931
1.8994 5.3571 1.8931
5.6983 5.3808 5.6980
5.6983 10.7260 5.6980
1.8994 8.0534 5.6928
5.6983 2.6845 1.8984
1.8994 2.6845 5.6925
5.6983 8.0534 1.8986
0.0480 2.6845 7.5400
0.0523 2.6845 3.8408
1.8994 0.0693 5.6911
1.8994 5.2996 5.6911
3.7466 2.6845 3.8408
3.7508 2.6845 7.5400
3.8468 8.0534 0.0512
3.8511 8.0534 3.7503
5.6983 5.4382 1.9000
5.6983 10.6685 1.9000
7.5454 8.0534 3.7503
7.5497 8.0534 0.0512
```

# 8
Ba2HfZnSe5 | GGA-PBE | optimized geometry

Summary:
Uncorrected formation energy (eV/atom): -1.51
Spin magnetization (μB/cell): 0.000
VASP energy (eV per atom): -5.117

Geometry as POSCAR:
```
Ba2HfZnSe5
1.0
2.0736 -9.5098 0.0000
2.0736 9.5098 0.0000
0.0000 0.0000 13.1892
Ba Hf Zn Se
4 2 2 10
Cartesian
2.0736 7.3146 6.5946
2.0736 7.1278 1.6042
2.0736 -7.1278 8.1988
2.0736 -7.3146 0.0000
2.0736 5.5380 10.9005
2.0736 -5.5380 4.3059
2.0736 1.1893 3.3361
2.0736 -1.1893 9.9307
2.0736 8.2584 11.3058
2.0736 4.0356 6.0837
2.0736 3.7468 2.4629
2.0736 2.9306 10.7368
2.0736 0.0471 1.2201
2.0736 -0.0471 7.8147
2.0736 -2.9306 4.1422
2.0736 -3.7468 9.0575
2.0736 -4.0356 12.6783
2.0736 -8.2584 4.7112
```